w.
Material: Ta2FeOs2
Method: DFT, PBE
State: optimized geometry

Cell lengths 7.310, 7.310, 3.079 Å; angles 90.00, 90.00, 90.00 degrees
Fractional positions:
Ta 0.165 0.335 0.000
Ta 0.335 0.835 0.000
Ta 0.665 0.165 0.000
Ta 0.835 0.665 0.000
Fe 0.000 0.000 0.500
Fe 0.500 0.500 0.500
Os 0.137 0.637 0.500
Os 0.363 0.137 0.500
Os 0.637 0.863 0.500
Os 0.863 0.363 0.500

**Symmetry**: P4/mbm, No. 127
**Fermi-level density of states**: 1.623 states/eV/atom
**Total magnetic moment**: 0.00 μB per formula unit

=====

x.
Material: Ta2FeOs2
Method: DFT, PBE
State: optimized geometry

Cell lengths 6.158, 6.158, 6.158 Å; angles 139.66, 139.66, 58.36 degrees
Fractional positions:
Ta 0.250 0.750 0.500
Ta 0.750 0.250 0.500
Fe 0.000 0.000 0.000
Os 0.385 0.385 0.000
Os 0.615 0.615 0.000

**Symmetry**: I4/mmm, No. 139
**Fermi-level density of states**: 0.932 states/eV/atom
**Total magnetic moment**: 3.38 μB per formula unit

=====

w takes first place; second place is 165 meV per atom up.

=====

w.
Material: TaFe3Os
Method: DFT, PBE
State: optimized geometry

Cell lengths 4.403, 4.403, 4.403 Å; angles 90.00, 90.00, 90.00 degrees
Fractional positions:
Ta 0.000 0.000 0.000
Fe 0.000 0.500 0.500
Fe 0.500 0.000 0.500
Fe 0.500 0.500 0.000
Os 0.500 0.500 0.500

**Symmetry**: Pm-3m, No. 221
**Fermi-level density of states**: 1.370 states/eV/atom
**Total magnetic moment**: 4.24 μB per formula unit

=====

x.
Material: TaFe3Os
Method: DFT, PBE
State: optimized geometry

Cell lengths 4.388, 4.388, 4.388 Å; angles 90.00, 90.00, 90.00 degrees
Fractional positions:
Ta 0.000 0.000 0.000
Fe 0.000 0.000 0.500
Fe 0.000 0.500 0.000
Fe 0.500 0.000 0.000
Os 0.500 0.500 0.500

**Symmetry**: Pm-3m, No. 221
**Fermi-level density of states**: 0.941 states/eV/atom
**Total magnetic moment**: 6.53 μB per formula unit

=====

w takes first place; second place is 410 meV per atom up.

=====

w.
Material: TbFeOs
Method: DFT, PBE
State: optimized geometry

Cell lengths 4.968, 4.968, 5.083 Å; angles 103.89, 103.89, 65.97 degrees
Fractional positions:
Tb 0.139 0.139 0.376
Tb 0.861 0.861 0.624
Fe 0.000 0.500 0.000
Fe 0.500 0.000 0.000
Os 0.495 0.495 0.256
Os 0.505 0.505 0.744

**Symmetry**: C2/m, No. 12
**Fermi-level density of states**: 0.698 states/eV/atom
**Total magnetic moment**: 2.23 μB per formula unit

=====

x.
Material: TbFeOs
Method: DFT, PBE
State: optimized geometry

Cell lengths 5.295, 5.295, 5.295 Å; angles 120.65, 120.35, 89.13 degrees
Fractional positions:
Tb 0.373 0.123 0.250
Tb 0.627 0.877 0.750
Fe 0.000 0.500 0.500
Fe 0.500 0.500 0.000
Os 0.000 0.000 0.500
Os 0.000 0.500 0.000

**Symmetry**: Imma, No. 74
**Fermi-level density of states**: 0.747 states/eV/atom
**Total magnetic moment**: 2.32 μB per formula unit

=====

x takes first place; second place is 373 meV per atom up.

=====

w.
Material: FeTcOs2
Method: DFT, PBE
State: optimized geometry

Cell lengths 2.660, 2.660, 8.932 Å; angles 90.00, 90.00, 115.94 degrees
Fractional positions:
Fe 0.000 0.000 0.000
Tc 0.000 0.000 0.500
Os 0.500 0.500 0.243
Os 0.500 0.500 0.757

**Symmetry**: Cmmm, No. 65
**Fermi-level density of states**: 1.182 states/eV/atom
**Total magnetic moment**: 2.88 μB per formula unit

=====

x.
Material: FeTcOs2
Method: DFT, PBE
State: optimized geometry

Cell lengths 6.729, 6.729, 6.729 Å; angles 133.76, 133.76, 67.46 degrees
Fractional positions:
Fe 0.000 0.000 0.000
Fe 0.750 0.250 0.500
Tc 0.250 0.750 0.500
Tc 0.500 0.500 0.000
Os 0.098 0.625 0.973
Os 0.375 0.348 0.473
Os 0.652 0.125 0.027
Os 0.875 0.902 0.527

**Symmetry**: I-42d, No. 122
**Fermi-level density of states**: 1.016 states/eV/atom
**Total magnetic moment**: 0.00 μB per formula unit

=====

w takes first place; second place is 897 meV per atom up.

=====

w.
Material: FeTcOs2
Method: DFT, PBE
State: optimized geometry

Cell lengths 8.908, 8.908, 8.908 Å; angles 17.46, 17.46, 17.46 degrees
Fractional positions:
Fe 0.000 0.000 0.000
Tc 0.500 0.500 0.500
Os 0.252 0.252 0.252
Os 0.748 0.748 0.748

**Symmetry**: R-3m, No. 166
**Fermi-level density of states**: 1.140 states/eV/atom
**Total magnetic moment**: 2.16 μB per formula unit

=====

x.
Material: FeTcOs2
Method: DFT, PBE
State: optimized geometry

Cell lengths 2.697, 3.800, 5.360 Å; angles 90.00, 90.00, 90.00 degrees
Fractional positions:
Fe 0.000 0.000 0.000
Tc 0.000 0.000 0.500
Os 0.500 0.500 0.240
Os 0.500 0.500 0.760

**Symmetry**: Pmmm, No. 47
**Fermi-level density of states**: 1.211 states/eV/atom
**Total magnetic moment**: 1.71 μB per formula unit

=====

y.
Material: FeTcOs2
Method: DFT, PBE
State: optimized geometry

Cell lengths 5.214, 5.214, 5.214 Å; angles 148.48, 130.47, 59.89 degrees
Fractional positions:
Fe 0.000 0.000 0.000
Tc 0.500 0.500 0.000
Os 0.224 0.724 0.500
Os 0.776 0.276 0.500

**Symmetry**: Immm, No. 71
**Fermi-level density of states**: 0.861 states/eV/atom
**Total magnetic moment**: 2.75 μB per formula unit

=====

x takes first place; second place is 8 meV per atom up.

=====

w.
Material: Fe2TcOs2
Method: DFT, PBE
State: optimized geometry

Cell lengths 5.678, 5.678, 5.678 Å; angles 141.48, 141.48, 55.62 degrees
Fractional positions:
Fe 0.101 0.101 0.000
Fe 0.899 0.899 0.000
Tc 0.500 0.500 0.000
Os 0.250 0.750 0.500
Os 0.750 0.250 0.500

**Symmetry**: I4/mmm, No. 139
**Fermi-level density of states**: 0.916 states/eV/atom
**Total magnetic moment**: 0.86 μB per formula unit

=====

x.
Material: Fe2TcOs2
Method: DFT, PBE
State: optimized geometry

Cell lengths 7.127, 7.127, 2.630 Å; angles 90.00, 90.00, 90.00 degrees
Fractional positions:
Fe 0.169 0.331 0.000
Fe 0.331 0.831 0.000
Fe 0.669 0.169 0.000
Fe 0.831 0.669 0.000
Tc 0.000 0.000 0.500
Tc 0.500 0.500 0.500
Os 0.127 0.627 0.500
Os 0.373 0.127 0.500
Os 0.627 0.873 0.500
Os 0.873 0.373 0.500

**Symmetry**: P4/mbm, No. 127
**Fermi-level density of states**: 1.359 states/eV/atom
**Total magnetic moment**: 0.00 μB per formula unit

=====

x takes first place; second place is 311 meV per atom up.

=====

w.
Material: Fe2TeOs2
Method: DFT, PBE
State: optimized geometry

Cell lengths 7.348, 7.348, 2.744 Å; angles 90.00, 90.00, 90.00 degrees
Fractional positions:
Fe 0.164 0.336 0.000
Fe 0.336 0.836 0.000
Fe 0.664 0.164 0.000
Fe 0.836 0.664 0.000
Te 0.000 0.000 0.000
Te 0.500 0.500 0.000
Os 0.125 0.625 0.500
Os 0.375 0.125 0.500
Os 0.625 0.875 0.500
Os 0.875 0.375 0.500

**Symmetry**: P4/mbm, No. 127
**Fermi-level density of states**: 1.269 states/eV/atom
**Total magnetic moment**: 0.00 μB per formula unit

=====

x.
Material: Fe2TeOs2
Method: DFT, PBE
State: optimized geometry

Cell lengths 6.613, 6.613, 6.613 Å; angles 147.98, 147.98, 45.91 degrees
Fractional positions:
Fe 0.106 0.106 0.000
Fe 0.894 0.894 0.000
Te 0.500 0.500 0.000
Os 0.250 0.750 0.500
Os 0.750 0.250 0.500

**Symmetry**: I4/mmm, No. 139
**Fermi-level density of states**: 1.238 states/eV/atom
**Total magnetic moment**: 3.65 μB per formula unit

=====

w takes first place; second place is 17 meV per atom up.

=====

w.
Material: FeTe2Os2
Method: DFT, PBE
State: optimized geometry

Cell lengths 7.495, 7.495, 3.168 Å; angles 90.00, 90.00, 90.00 degrees
Fractional positions:
Fe 0.000 0.000 0.000
Fe 0.500 0.500 0.000
Te 0.162 0.338 0.000
Te 0.338 0.838 0.000
Te 0.662 0.162 0.000
Te 0.838 0.662 0.000
Os 0.140 0.640 0.500
Os 0.360 0.140 0.500
Os 0.640 0.860 0.500
Os 0.860 0.360 0.500

**Symmetry**: P4/mbm, No. 127
**Fermi-level density of states**: 1.467 states/eV/atom
**Total magnetic moment**: 0.00 μB per formula unit

=====

x.
Material: FeTe2Os2
Method: DFT, PBE
State: optimized geometry

Cell lengths 8.196, 8.196, 8.196 Å; angles 154.58, 154.58, 36.26 degrees
Fractional positions:
Fe 0.000 0.000 0.000
Te 0.394 0.394 0.000
Te 0.606 0.606 0.000
Os 0.250 0.750 0.500
Os 0.750 0.250 0.500

**Symmetry**: I4/mmm, No. 139
**Fermi-level density of states**: 1.443 states/eV/atom
**Total magnetic moment**: 2.34 μB per formula unit

=====

x takes first place; second place is 213 meV per atom up.

=====

w.
Material: TlFeOs2
Method: DFT, PBE
State: optimized geometry

Cell lengths 5.585, 5.585, 5.585 Å; angles 150.67, 131.77, 57.45 degrees
Fractional positions:
Tl 0.000 0.000 0.000
Fe 0.500 0.500 0.000
Os 0.283 0.783 0.500
Os 0.717 0.217 0.500

**Symmetry**: Immm, No. 71
**Fermi-level density of states**: 1.162 states/eV/atom
**Total magnetic moment**: 2.61 μB per formula unit

=====

x.
Material: TlFeOs2
Method: DFT, PBE
State: optimized geometry

Cell lengths 4.741, 4.741, 5.021 Å; angles 100.88, 100.88, 35.12 degrees
Fractional positions:
Tl 0.000 0.000 0.000
Fe 0.500 0.500 0.500
Os 0.232 0.232 0.706
Os 0.768 0.768 0.294

**Symmetry**: C2/m, No. 12
**Fermi-level density of states**: 0.966 states/eV/atom
**Total magnetic moment**: 2.75 μB per formula unit

=====

x takes first place; second place is 66 meV per atom up.

=====

w.
Material: TlFeOs2
Method: DFT, PBE
State: optimized geometry

Cell lengths 5.767, 5.767, 5.767 Å; angles 100.92, 100.92, 128.39 degrees
Fractional positions:
Tl 0.000 0.000 0.000
Tl 0.750 0.250 0.500
Fe 0.250 0.750 0.500
Fe 0.500 0.500 0.000
Os 0.190 0.125 0.565
Os 0.375 0.810 0.935
Os 0.560 0.625 0.435
Os 0.875 0.440 0.065

**Symmetry**: I-42d, No. 122
**Fermi-level density of states**: 1.065 states/eV/atom
**Total magnetic moment**: 0.68 μB per formula unit

=====

x.
Material: TlFeOs2
Method: DFT, PBE
State: optimized geometry

Cell lengths 4.465, 4.465, 4.465 Å; angles 60.00, 60.00, 60.00 degrees
Fractional positions:
Tl 0.000 0.000 0.000
Fe 0.500 0.500 0.500
Os 0.250 0.250 0.250
Os 0.750 0.750 0.750

**Symmetry**: Fm-3m, No. 225
**Fermi-level density of states**: 1.099 states/eV/atom
**Total magnetic moment**: 3.27 μB per formula unit

=====

x takes first place; second place is 192 meV per atom up.

=====

w.
Material: TlFeOs2
Method: DFT, PBE
State: optimized geometry

Cell lengths 2.832, 2.832, 9.339 Å; angles 90.00, 90.00, 118.90 degrees
Fractional positions:
Tl 0.000 0.000 0.000
Fe 0.500 0.500 0.264
Os 0.000 0.000 0.488
Os 0.500 0.500 0.722

**Symmetry**: Cmm2, No. 35
**Fermi-level density of states**: 1.220 states/eV/atom
**Total magnetic moment**: 3.32 μB per formula unit

=====

x.
Material: TlFeOs2
Method: DFT, PBE
State: optimized geometry

Cell lengths 4.832, 4.832, 4.832 Å; angles 131.40, 131.40, 71.18 degrees
Fractional positions:
Tl 0.000 0.000 0.000
Fe 0.250 0.750 0.500
Os 0.500 0.500 0.000
Os 0.750 0.250 0.500

**Symmetry**: I-4m2, No. 119
**Fermi-level density of states**: 1.131 states/eV/atom
**Total magnetic moment**: 2.35 μB per formula unit

=====

y.
Material: TlFeOs2
Method: DFT, PBE
State: optimized geometry

Cell lengths 9.253, 9.253, 9.253 Å; angles 17.66, 17.66, 17.66 degrees
Fractional positions:
Tl 0.000 0.000 0.000
Fe 0.500 0.500 0.500
Os 0.239 0.239 0.239
Os 0.761 0.761 0.761

**Symmetry**: R-3m, No. 166
**Fermi-level density of states**: 0.884 states/eV/atom
**Total magnetic moment**: 2.25 μB per formula unit

=====

y takes first place; second place is 113 meV per atom up.

=====

w.
Material: TmFeOs
Method: DFT, PBE
State: optimized geometry

Cell lengths 5.236, 5.236, 5.236 Å; angles 121.01, 120.08, 89.06 degrees
Fractional positions:
Tm 0.376 0.126 0.250
Tm 0.624 0.874 0.750
Fe 0.000 0.000 0.500
Fe 0.000 0.500 0.000
Os 0.000 0.500 0.500
Os 0.500 0.500 0.000

**Symmetry**: Imma, No. 74
**Fermi-level density of states**: 0.746 states/eV/atom
**Total magnetic moment**: 2.20 μB per formula unit

=====

x.
Material: TmFeOs
Method: DFT, PBE
State: optimized geometry

Cell lengths 3.218, 3.866, 4.723 Å; angles 90.00, 90.00, 90.00 degrees
Fractional positions:
Tm 0.000 0.000 0.000
Fe 0.000 0.500 0.500
Os 0.500 0.000 0.500

**Symmetry**: Pmmm, No. 47
**Fermi-level density of states**: 0.922 states/eV/atom
**Total magnetic moment**: 2.76 μB per formula unit

=====

w takes first place; second place is 545 meV per atom up.